# 1
First-principles (PBE-GGA) data for crystalline RbHfRu2 at its relaxed geometry, as listed in Alexandria via LeMat-Bulk.

Unit cell a=5.122 b=5.122 c=9.493 alpha=74.35 beta=74.35 gamma=90.00
Sites, in units of the cell vectors:
Ru1 0.848 0.125 0.250
Ru2 0.902 0.625 0.250
Ru3 0.375 0.152 0.750
Ru4 0.875 0.098 0.750
Hf1 0.000 0.000 0.000
Hf2 0.750 0.250 0.500
Rb1 0.500 0.500 0.000
Rb2 0.250 0.750 0.500

Summary:
energy above the most stable polymorph in this dataset	125.5	meV per atom
space-group type	I-42d, No. 122
raw total energy	-6.228	eV/atom
calculated formation energy	4.6	eV per formula unit


# 2
First-principles (PBE-GGA) data for crystalline La2DyHf at its relaxed geometry, as listed in Alexandria via LeMat-Bulk.

Unit cell a=4.075 b=4.075 c=7.456 alpha=90.00 beta=90.00 gamma=90.00
Sites, in units of the cell vectors:
La1 0.000 0.000 0.774
La2 0.000 0.000 0.226
Hf1 0.500 0.500 0.000
Dy1 0.500 0.500 0.500

Summary:
energy above the most stable polymorph in this dataset	24.0	meV per atom
space-group type	P4/mmm, No. 123
raw total energy	-5.902	eV/atom
calculated formation energy	0.8	eV per formula unit


# 3
First-principles (PBE-GGA) data for crystalline RbBiAs6H24C8S12N2 at its relaxed geometry, as listed in Alexandria via LeMat-Bulk.

Unit cell a=10.091 b=10.091 c=11.240 alpha=63.33 beta=63.33 gamma=60.00
Sites, in units of the cell vectors:
Rb1 0.500 0.500 0.500
Bi1 0.000 0.000 0.000
As1 0.420 0.801 0.082
As2 0.580 0.199 0.918
As3 0.801 0.697 0.082
As4 0.199 0.303 0.918
As5 0.303 0.580 0.918
As6 0.697 0.420 0.082
H1 0.135 0.014 0.429
H2 0.285 0.334 0.431
H3 0.259 0.171 0.585
H4 0.986 0.578 0.571
H5 0.050 0.715 0.569
H6 0.715 0.666 0.569
H7 0.171 0.230 0.227
H8 0.171 0.985 0.585
H9 0.014 0.422 0.429
H10 0.829 0.770 0.773
H11 0.015 0.741 0.415
H12 0.422 0.135 0.429
H13 0.666 0.050 0.569
H14 0.770 0.628 0.773
H15 0.950 0.285 0.431
H16 0.230 0.372 0.227
H17 0.334 0.950 0.431
H18 0.578 0.865 0.571
H19 0.628 0.829 0.773
H20 0.865 0.986 0.571
H21 0.829 0.015 0.415
H22 0.372 0.171 0.227
H23 0.985 0.259 0.585
H24 0.741 0.829 0.415
C1 0.703 0.792 0.529
C2 0.977 0.703 0.529
C3 0.023 0.297 0.471
C4 0.246 0.246 0.263
C5 0.792 0.977 0.529
C6 0.754 0.754 0.737
C7 0.297 0.208 0.471
C8 0.208 0.023 0.471
S1 0.539 0.827 0.204
S2 0.827 0.430 0.204
S3 0.173 0.570 0.796
S4 0.287 0.831 0.822
S5 0.169 0.939 0.178
S6 0.831 0.061 0.822
S7 0.061 0.287 0.822
S8 0.939 0.713 0.178
S9 0.430 0.539 0.204
S10 0.713 0.169 0.178
S11 0.461 0.173 0.796
S12 0.570 0.461 0.796
N1 0.806 0.806 0.581
N2 0.194 0.194 0.419

Summary:
space-group type	R-3, No. 148
raw total energy	-4.910	eV/atom


# 4
First-principles (PBE-GGA) data for crystalline AgRuSe2 at its relaxed geometry, as listed in Alexandria via LeMat-Bulk.

Unit cell a=7.990 b=7.990 c=7.990 alpha=26.64 beta=26.64 gamma=26.64
Sites, in units of the cell vectors:
Ru1 0.500 0.500 0.500
Se1 0.890 0.890 0.890
Se2 0.110 0.110 0.110
Ag1 0.000 0.000 0.000

Summary:
energy above the most stable polymorph in this dataset	23.8	meV per atom
space-group type	R-3m, No. 166
raw total energy	-4.839	eV/atom
E_form (uncorrected)	-1.49	kcal/mol of atoms


# 5
First-principles (PBE-GGA) data for crystalline NbRh3Br at its relaxed geometry, as listed in Alexandria via LeMat-Bulk.

Unit cell a=4.797 b=4.797 c=4.797 alpha=90.00 beta=90.00 gamma=90.00
Sites, in units of the cell vectors:
Nb1 0.000 0.000 0.000
Rh1 0.000 0.500 0.000
Rh2 0.000 0.000 0.500
Rh3 0.500 0.000 0.000
Br1 0.500 0.500 0.500

Summary:
energy above the most stable polymorph in this dataset	0.0	meV per atom
space-group type	Pm-3m, No. 221
raw total energy	-5.667	eV/atom
E_form (uncorrected)	25.20	kcal/mol of atoms


# 6
First-principles (PBE-GGA) data for crystalline Ho5Cd2Tc2 at its relaxed geometry, as listed in Alexandria via LeMat-Bulk.

Unit cell a=7.269 b=7.442 c=9.231 alpha=90.00 beta=66.82 gamma=90.00
Sites, in units of the cell vectors:
Ho1 0.000 0.000 0.000
Ho2 0.500 0.500 0.000
Ho3 0.441 0.183 0.755
Ho4 0.804 0.817 0.755
Ho5 0.304 0.683 0.755
Ho6 0.941 0.317 0.755
Ho7 0.559 0.817 0.245
Ho8 0.196 0.183 0.245
Ho9 0.696 0.317 0.245
Ho10 0.059 0.683 0.245
Cd1 0.226 0.000 0.547
Cd2 0.726 0.500 0.547
Cd3 0.774 0.000 0.453
Cd4 0.274 0.500 0.453
Tc1 0.109 0.380 0.000
Tc2 0.891 0.620 0.000
Tc3 0.391 0.880 0.000
Tc4 0.609 0.120 0.000

Summary:
space-group type	Cmce, No. 64
raw total energy	-5.200	eV/atom
calculated formation energy	-1.3	eV per formula unit


# 7
First-principles (PBE-GGA) data for crystalline TbCeYHg at its relaxed geometry, as listed in Alexandria via LeMat-Bulk.

Unit cell a=5.378 b=5.378 c=5.378 alpha=60.00 beta=60.00 gamma=60.00
Sites, in units of the cell vectors:
Y1 0.750 0.750 0.750
Tb1 0.250 0.250 0.250
Hg1 0.000 0.000 0.000
Ce1 0.500 0.500 0.500

Summary:
space-group type	F-43m, No. 216
raw total energy	-4.327	eV/atom
calculated formation energy	0.0	eV per formula unit


# 8
First-principles (PBE-GGA) data for crystalline LiYMo2 at its relaxed geometry, as listed in Alexandria via LeMat-Bulk.

Unit cell a=3.415 b=3.415 c=6.423 alpha=90.00 beta=90.00 gamma=90.00
Sites, in units of the cell vectors:
Li1 0.500 0.500 0.750
Mo1 0.000 0.000 0.924
Mo2 0.000 0.000 0.576
Y1 0.500 0.500 0.250

Summary:
energy above the most stable polymorph in this dataset	274.1	meV per atom
space-group type	P4/mmm, No. 123
raw total energy	-6.975	eV/atom
calculated formation energy	2.1	eV per formula unit


# 9
First-principles (PBE-GGA) data for crystalline Rb2InI3 at its relaxed geometry, as listed in Alexandria via LeMat-Bulk.

Unit cell a=9.376 b=8.914 c=8.914 alpha=119.82 beta=90.00 gamma=90.00
Sites, in units of the cell vectors:
Rb1 0.750 0.500 0.150
Rb2 0.250 0.500 0.850
Rb3 0.250 0.850 0.500
Rb4 0.750 0.150 0.500
In1 0.750 0.945 0.945
In2 0.250 0.055 0.055
I1 0.250 0.402 0.402
I2 0.750 0.598 0.598
I3 0.500 0.171 0.829
I4 0.000 0.171 0.829
I5 0.500 0.829 0.171
I6 0.000 0.829 0.171

Summary:
energy above the most stable polymorph in this dataset	51.4	meV per atom
space-group type	Cmcm, No. 63
raw total energy	-2.646	eV/atom
E_form (uncorrected)	-25.17	kcal/mol of atoms


# 10
First-principles (PBE-GGA) data for crystalline AcPuGa4 at its relaxed geometry, as listed in Alexandria via LeMat-Bulk.

Unit cell a=5.704 b=5.704 c=5.704 alpha=60.00 beta=60.00 gamma=60.00
Sites, in units of the cell vectors:
Ac1 0.250 0.250 0.250
Ga1 0.626 0.626 0.122
Ga2 0.626 0.122 0.626
Ga3 0.626 0.626 0.626
Ga4 0.122 0.626 0.626
Pu1 0.000 0.000 0.000

Summary:
energy above the most stable polymorph in this dataset	62.9	meV per atom
space-group type	F-43m, No. 216
raw total energy	-5.488	eV/atom
calculated formation energy	-2.4	eV per formula unit


# 11
First-principles (PBE-GGA) data for crystalline Dy4PdRu2 at its relaxed geometry, as listed in Alexandria via LeMat-Bulk.

Unit cell a=4.834 b=4.834 c=8.332 alpha=73.14 beta=73.14 gamma=60.00
Sites, in units of the cell vectors:
Dy1 0.872 0.872 0.383
Dy2 0.128 0.128 0.617
Dy3 0.622 0.622 0.134
Dy4 0.378 0.378 0.866
Pd1 0.000 0.000 0.000
Ru1 0.748 0.748 0.755
Ru2 0.252 0.252 0.245

Summary:
energy above the most stable polymorph in this dataset	0.0	meV per atom
space-group type	R-3m, No. 166
raw total energy	-6.516	eV/atom
calculated formation energy	-3.5	eV per formula unit


# 12
First-principles (PBE-GGA) data for crystalline Rb2YHoO4 at its relaxed geometry, as listed in Alexandria via LeMat-Bulk.

Unit cell a=3.505 b=6.072 c=6.865 alpha=107.14 beta=90.00 gamma=90.00
Sites, in units of the cell vectors:
Rb1 0.500 0.000 0.500
Rb2 0.000 0.500 0.500
Y1 0.500 0.500 0.000
Ho1 0.000 0.000 0.000
O1 0.500 0.223 0.175
O2 0.500 0.777 0.825
O3 0.000 0.273 0.825
O4 0.000 0.727 0.175

Summary:
space-group type	P2/m, No. 10
raw total energy	-6.795	eV/atom
E_form (uncorrected)	-62.13	kcal/mol of atoms


# 13
First-principles (PBE-GGA) data for crystalline Li4Zn4Ni3 at its relaxed geometry, as listed in Alexandria via LeMat-Bulk.

Unit cell a=2.592 b=7.117 c=9.064 alpha=113.12 beta=98.22 gamma=90.00
Sites, in units of the cell vectors:
Li1 0.642 0.463 0.284
Li2 0.358 0.179 0.716
Li3 0.358 0.537 0.716
Li4 0.642 0.821 0.284
Zn1 0.729 0.229 0.457
Zn2 0.271 0.771 0.543
Zn3 0.500 0.801 0.000
Zn4 0.500 0.199 0.000
Ni1 0.899 0.899 0.799
Ni2 0.101 0.101 0.201
Ni3 0.000 0.500 0.000

Summary:
space-group type	Immm, No. 71
raw total energy	-2.881	eV/atom
calculated formation energy	-1.6	eV per formula unit


# 14
First-principles (PBE-GGA) data for crystalline Np3AgS6 at its relaxed geometry, as listed in Alexandria via LeMat-Bulk.

Unit cell a=6.549 b=8.337 c=8.337 alpha=101.46 beta=90.00 gamma=90.00
Sites, in units of the cell vectors:
Np1 0.477 0.922 0.719
Np2 0.977 0.719 0.922
Np3 0.381 0.396 0.604
Np4 0.881 0.604 0.396
Np5 0.977 0.078 0.281
Np6 0.477 0.281 0.078
Ag1 0.014 0.199 0.801
Ag2 0.514 0.801 0.199
S1 0.177 0.695 0.628
S2 0.677 0.628 0.695
S3 0.222 0.457 0.911
S4 0.722 0.911 0.457
S5 0.203 0.023 0.977
S6 0.635 0.228 0.772
S7 0.135 0.772 0.228
S8 0.703 0.977 0.023
S9 0.222 0.089 0.543
S10 0.722 0.543 0.089
S11 0.177 0.372 0.305
S12 0.677 0.305 0.372

Summary:
space-group type	Cmc2_1, No. 36
raw total energy	-7.810	eV/atom
E_form (uncorrected)	-26.90	kcal/mol of atoms


# 15
First-principles (PBE-GGA) data for crystalline CrRe2Te at its relaxed geometry, as listed in Alexandria via LeMat-Bulk.

Unit cell a=5.239 b=5.239 c=5.239 alpha=145.29 beta=129.52 gamma=62.72
Sites, in units of the cell vectors:
Cr1 0.738 0.238 0.500
Re1 0.997 0.997 0.000
Re2 0.259 0.759 0.500
Te1 0.506 0.506 0.000

Summary:
space-group type	Imm2, No. 44
raw total energy	-8.757	eV/atom
E_form (uncorrected)	15.18	kcal/mol of atoms


# 16
First-principles (PBE-GGA) data for crystalline SrInMo2 at its relaxed geometry, as listed in Alexandria via LeMat-Bulk.

Unit cell a=2.890 b=2.890 c=10.011 alpha=90.00 beta=90.00 gamma=98.63
Sites, in units of the cell vectors:
In1 0.500 0.500 0.750
Mo1 0.000 0.000 0.973
Mo2 0.000 0.000 0.527
Sr1 0.500 0.500 0.250

Summary:
space-group type	Cmmm, No. 65
raw total energy	-5.668	eV/atom
calculated formation energy	3.4	eV per formula unit


# 17
First-principles (PBE-GGA) data for crystalline LaSmPN at its relaxed geometry, as listed in Alexandria via LeMat-Bulk.

Unit cell a=4.041 b=4.041 c=13.474 alpha=90.00 beta=90.00 gamma=120.00
Sites, in units of the cell vectors:
La1 0.000 0.000 0.150
La2 0.000 0.000 0.650
Sm1 0.333 0.667 0.911
Sm2 0.667 0.333 0.411
P1 0.667 0.333 0.769
P2 0.333 0.667 0.269
N1 0.000 0.000 0.482
N2 0.000 0.000 0.982

Summary:
space-group type	P6_3mc, No. 186
raw total energy	-7.095	eV/atom
E_form (uncorrected)	-28.81	kcal/mol of atoms


# 18
First-principles (PBE-GGA) data for crystalline Pm5BiP6 at its relaxed geometry, as listed in Alexandria via LeMat-Bulk.

Unit cell a=7.179 b=7.179 c=7.172 alpha=99.59 beta=99.59 gamma=120.02
Sites, in units of the cell vectors:
P1 0.421 0.084 0.251
P2 0.916 0.579 0.749
P3 0.253 0.253 0.747
P4 0.747 0.747 0.253
P5 0.084 0.421 0.251
P6 0.579 0.916 0.749
Bi1 0.000 0.000 0.000
Pm1 0.834 0.166 0.500
Pm2 0.667 0.333 0.000
Pm3 0.500 0.500 0.500
Pm4 0.333 0.667 0.000
Pm5 0.166 0.834 0.500

Summary:
space-group type	C2/m, No. 12
raw total energy	-6.250	eV/atom
calculated formation energy	-14.9	eV per formula unit


# 19
First-principles (PBE-GGA) data for crystalline PmPr6Tm3 at its relaxed geometry, as listed in Alexandria via LeMat-Bulk.

Unit cell a=6.235 b=9.464 c=11.774 alpha=90.00 beta=90.65 gamma=90.00
Sites, in units of the cell vectors:
Pm1 0.500 0.500 0.500
Pm2 0.000 0.000 0.000
Pr1 0.505 0.157 0.920
Pr2 0.505 0.152 0.581
Pr3 0.630 0.534 0.250
Pr4 0.370 0.466 0.750
Pr5 0.495 0.848 0.419
Pr6 0.495 0.843 0.080
Pr7 0.005 0.343 0.420
Pr8 0.005 0.348 0.081
Pr9 0.130 0.966 0.750
Pr10 0.870 0.034 0.250
Pr11 0.995 0.652 0.919
Pr12 0.995 0.657 0.580
Tm1 0.613 0.822 0.751
Tm2 0.500 0.500 0.000
Tm3 0.387 0.178 0.249
Tm4 0.113 0.678 0.251
Tm5 0.000 0.000 0.500
Tm6 0.887 0.322 0.749

Summary:
energy above the most stable polymorph in this dataset	0.0	meV per atom
space-group type	P2_1/c, No. 14
raw total energy	-4.480	eV/atom
calculated formation energy	2.0	eV per formula unit


# 20
First-principles (PBE-GGA) data for crystalline GaCu2Pt9 at its relaxed geometry, as listed in Alexandria via LeMat-Bulk.

Unit cell a=3.925 b=3.925 c=11.712 alpha=90.00 beta=90.00 gamma=90.00
Sites, in units of the cell vectors:
Ga1 0.000 0.000 0.000
Cu1 0.000 0.000 0.336
Cu2 0.000 0.000 0.664
Pt1 0.500 0.500 0.000
Pt2 0.500 0.500 0.334
Pt3 0.500 0.500 0.666
Pt4 0.500 0.000 0.168
Pt5 0.500 0.000 0.500
Pt6 0.500 0.000 0.832
Pt7 0.000 0.500 0.168
Pt8 0.000 0.500 0.500
Pt9 0.000 0.500 0.832

Summary:
space-group type	P4/mmm, No. 123
raw total energy	-5.676	eV/atom
calculated formation energy	-2.5	eV per formula unit


# 21
First-principles (PBE-GGA) data for crystalline PuHgRh at its relaxed geometry, as listed in Alexandria via LeMat-Bulk.

Unit cell a=4.682 b=4.682 c=4.682 alpha=60.00 beta=60.00 gamma=60.00
Sites, in units of the cell vectors:
Rh1 0.250 0.250 0.250
Hg1 0.500 0.500 0.500
Pu1 0.000 0.000 0.000

Summary:
energy above the most stable polymorph in this dataset	101.2	meV per atom
space-group type	F-43m, No. 216
raw total energy	-7.491	eV/atom
calculated formation energy	-0.5	eV per formula unit


# 22
First-principles (PBE-GGA) data for crystalline YTlOs at its relaxed geometry, as listed in Alexandria via LeMat-Bulk.

Unit cell a=4.721 b=4.721 c=4.721 alpha=60.00 beta=60.00 gamma=60.00
Sites, in units of the cell vectors:
Os1 0.750 0.750 0.750
Tl1 0.000 0.000 0.000
Y1 0.500 0.500 0.500

Summary:
energy above the most stable polymorph in this dataset	110.5	meV per atom
space-group type	F-43m, No. 216
raw total energy	-6.421	eV/atom
calculated formation energy	0.8	eV per formula unit